Entry 1:
A plane-wave DFT calculation with PBE was carried out for an optimized crystal structure of Nd6H2Pb3. Values from VASP.

Properties
Energy in eV/cell: -51.3
N(E_F) in states/eV per cell: 11.1
Symmetry: I4/mmm

```
&SYSTEM
  ibrav = 0, nat = 11, ntyp = 3
/
ATOMIC_SPECIES
Nd 144.24 Nd.upf
H 1.01 H.upf
Pb 207.20 Pb.upf
ATOMIC_POSITIONS crystal
Nd 0.083 0.583 0.500
Nd 0.199 0.199 0.000
Nd 0.417 0.917 0.500
Nd 0.583 0.083 0.500
Nd 0.801 0.801 0.000
Nd 0.917 0.417 0.500
H 0.104 0.104 0.000
H 0.896 0.896 0.000
Pb 0.324 0.324 0.000
Pb 0.500 0.500 0.000
Pb 0.676 0.676 0.000
CELL_PARAMETERS angstrom
-2.420 2.420 13.141
2.420 -2.420 13.141
2.420 2.420 -13.141
```

=====

Entry 2:
A plane-wave DFT calculation with PBE was carried out for an optimized crystal structure of Nd4HPb2. Values from VASP.

Properties
N(E_F) in states/eV per cell: 7.5
E above lowest polymorph in meV per atom: 0
Symmetry: I4/mmm

```
&SYSTEM
  ibrav = 0, nat = 7, ntyp = 3
/
ATOMIC_SPECIES
Nd 144.24 Nd.upf
H 1.01 H.upf
Pb 207.20 Pb.upf
ATOMIC_POSITIONS crystal
Nd 0.000 0.500 0.500
Nd 0.178 0.178 0.000
Nd 0.500 0.000 0.500
Nd 0.822 0.822 0.000
H 0.000 0.000 0.000
Pb 0.362 0.362 0.000
Pb 0.638 0.638 0.000
CELL_PARAMETERS angstrom
-2.364 2.364 8.874
2.364 -2.364 8.874
2.364 2.364 -8.874
```

=====

Entry 3:
A plane-wave DFT calculation with PBE was carried out for an optimized crystal structure of Nd6HPb3. Values from VASP.

Properties
Energy in eV/cell: -91.6
N(E_F) in states/eV per cell: 26.7
Symmetry: Cmc2_1

```
&SYSTEM
  ibrav = 0, nat = 20, ntyp = 3
/
ATOMIC_SPECIES
Nd 144.24 Nd.upf
H 1.01 H.upf
Pb 207.20 Pb.upf
ATOMIC_POSITIONS crystal
Nd 0.047 0.953 0.500
Nd 0.098 0.578 0.490
Nd 0.227 0.773 0.940
Nd 0.312 0.368 0.949
Nd 0.368 0.312 0.449
Nd 0.422 0.902 0.490
Nd 0.578 0.098 0.990
Nd 0.632 0.688 0.949
Nd 0.688 0.632 0.449
Nd 0.773 0.227 0.440
Nd 0.902 0.422 0.990
Nd 0.953 0.047 0.000
H 0.194 0.806 0.616
H 0.806 0.194 0.116
Pb 0.061 0.275 0.669
Pb 0.275 0.061 0.169
Pb 0.379 0.621 0.246
Pb 0.621 0.379 0.746
Pb 0.725 0.939 0.669
Pb 0.939 0.725 0.169
CELL_PARAMETERS angstrom
6.069 -7.563 0.000
6.069 7.563 0.000
0.000 0.000 7.296
```

=====

| no. | M_tot (μB/f.u.) |
| --- | --- |
| 1 | 0.002 |
| 2 | 0.016 |
| 3 | 0.258 |